Record 1
VASP calculation (PBE) on an optimized crystal structure of Li2Ac3Tl4.

Properties
energy of formation from the pure elements	-2.9	eV/f.u.
raw total energy	-28.6	eV/cell

Cell lengths 5.166, 6.466, 9.904 Å; angles 112.71, 90.00, 113.55 degrees
Fractional positions:
Li 0.392 0.785 0.721
Li 0.608 0.215 0.279
Tl 0.951 0.902 0.629
Tl 0.266 0.533 0.916
Tl 0.734 0.467 0.084
Tl 0.049 0.098 0.371
Ac 0.335 0.671 0.342
Ac 0.665 0.329 0.658
Ac 0.000 0.000 0.000

=====

Record 2
VASP calculation (PBE) on an optimized crystal structure of Tc5B3Mo.

Properties
energy of formation from the pure elements	1.6	eV/f.u.
raw total energy	-162.1	eV/cell

Cell lengths 5.574, 5.574, 8.488 Å; angles 99.67, 105.05, 110.42 degrees
Fractional positions:
Tc 0.523 0.779 0.302
Tc 0.907 0.146 0.593
Tc 0.306 0.306 0.000
Tc 0.553 0.314 0.407
Tc 0.247 0.747 0.994
Tc 0.093 0.854 0.407
Tc 0.753 0.253 0.006
Tc 0.694 0.694 0.000
Tc 0.447 0.686 0.593
Tc 0.477 0.221 0.698
B 0.000 0.000 0.000
B 0.000 0.500 0.500
B 0.710 0.511 0.221
B 0.290 0.489 0.779
B 0.209 0.986 0.195
B 0.791 0.014 0.805
Mo 0.025 0.264 0.288
Mo 0.975 0.736 0.712

=====

Record 3
VASP calculation (PBE) on an optimized crystal structure of Sr3CaZn2.

Properties
energy of formation from the pure elements	-0.7	eV/f.u.
raw total energy	-10.3	eV/cell

Cell lengths 3.943, 3.943, 13.752 Å; angles 90.00, 90.00, 90.00 degrees
Fractional positions:
Sr 0.000 0.000 0.000
Sr 0.000 0.000 0.280
Sr 0.000 0.000 0.720
Zn 0.500 0.500 0.145
Zn 0.500 0.500 0.855
Ca 0.500 0.500 0.500

=====

Record 4
VASP calculation (PBE) on an optimized crystal structure of AcPm2Tl.

Properties
E above lowest polymorph	168	meV/atom
energy of formation from the pure elements	0.0	eV/f.u.
raw total energy	-16.0	eV/cell

Cell lengths 5.708, 5.708, 5.708 Å; angles 60.00, 60.00, 60.00 degrees
Fractional positions:
Pm 0.250 0.250 0.250
Pm 0.750 0.750 0.750
Ac 0.000 0.000 0.000
Tl 0.500 0.500 0.500

=====

Record 5
VASP calculation (PBE) on an optimized crystal structure of PuCoSbH.

Properties
raw total energy	-30.5	eV/cell

Cell lengths 4.275, 4.275, 4.133 Å; angles 90.00, 90.00, 120.00 degrees
Last column: magnetic moment on the atom in μB.
Fractional positions:
H 0.239 0.477 0.336  -0.01
Co 0.239 0.477 0.724  -0.64
Pu 0.572 0.144 0.335  5.00
Sb 0.905 0.810 0.844  -0.08

=====

Record 6
VASP calculation (PBE) on an optimized crystal structure of Ta2BeNi.

Properties
energy of formation from the pure elements	0.0	eV/f.u.
raw total energy	-33.2	eV/cell

Cell lengths 2.924, 3.403, 5.763 Å; angles 90.00, 90.00, 90.00 degrees
Fractional positions:
Be 0.000 0.000 0.523
Ta 0.500 0.500 0.279
Ta 0.000 0.000 0.979
Ni 0.500 0.500 0.719

=====

Record 7
VASP calculation (PBE) on an optimized crystal structure of Tb3As4Pd4.

Properties
energy of formation from the pure elements	-11.4	eV/f.u.
raw total energy	-64.7	eV/cell

Cell lengths 4.211, 7.127, 8.156 Å; angles 115.91, 104.96, 90.00 degrees
Fractional positions:
Pd 0.328 0.128 0.656
Pd 0.672 0.872 0.344
Pd 0.672 0.472 0.344
Pd 0.328 0.528 0.656
As 0.784 0.284 0.569
As 0.500 0.803 0.000
As 0.216 0.716 0.431
As 0.500 0.197 0.000
Tb 0.129 0.129 0.257
Tb 0.000 0.500 0.000
Tb 0.871 0.871 0.743

=====

Record 8
VASP calculation (PBE) on an optimized crystal structure of AcEr4Co.

Properties
energy of formation from the pure elements	0.5	eV/f.u.
raw total energy	-29.0	eV/cell

Cell lengths 3.651, 6.108, 9.051 Å; angles 79.50, 89.99, 90.00 degrees
Fractional positions:
Co 0.001 0.997 0.498
Ac 0.501 0.497 0.998
Er 0.001 0.608 0.648
Er 0.001 0.387 0.348
Er 0.501 0.096 0.690
Er 0.501 0.898 0.306

=====

Record 9
VASP calculation (PBE) on an optimized crystal structure of TlSiIO2.

Properties
formation energy without anion corrections	-34	kJ/mol of atoms
E above lowest polymorph	0	meV/atom
raw total energy	-21.0	eV/cell

Cell lengths 4.037, 4.037, 5.384 Å; angles 90.00, 90.00, 90.00 degrees
Fractional positions:
O 0.500 0.000 0.000
O 0.000 0.500 0.000
Si 0.000 0.000 0.000
I 0.000 0.000 0.500
Tl 0.500 0.500 0.500

=====

Record 10
VASP calculation (PBE) on an optimized crystal structure of ZrReTe4.

Properties
formation energy without anion corrections	124	kJ/mol of atoms
raw total energy	-25.9	eV/cell

Cell lengths 6.099, 6.099, 6.099 Å; angles 60.00, 60.00, 60.00 degrees
Last column: magnetic moment on the atom in μB.
Fractional positions:
Te 0.375 0.375 0.375  0.04
Te 0.375 0.876 0.375  0.04
Te 0.876 0.375 0.375  0.04
Te 0.375 0.375 0.876  0.04
Re 0.000 0.000 0.000  2.91
Zr 0.750 0.750 0.750  -0.69

=====

Record 11
VASP calculation (PBE) on an optimized crystal structure of PaZn2Co2.

Properties
E above lowest polymorph	0	meV/atom
energy of formation from the pure elements	-1.1	eV/f.u.
raw total energy	-54.7	eV/cell

Cell lengths 4.096, 4.856, 8.265 Å; angles 106.65, 90.00, 90.00 degrees
Fractional positions:
Co 0.250 0.923 0.590
Co 0.750 0.077 0.410
Co 0.750 0.688 0.034
Co 0.250 0.312 0.966
Zn 0.250 0.743 0.852
Zn 0.750 0.614 0.469
Zn 0.250 0.386 0.531
Zn 0.750 0.257 0.148
Pa 0.250 0.824 0.230
Pa 0.750 0.176 0.770

=====

Record 12
VASP calculation (PBE) on an optimized crystal structure of NaScInHg.

Properties
energy of formation from the pure elements	-0.9	eV/f.u.
raw total energy	-11.6	eV/cell

Cell lengths 5.072, 5.072, 5.072 Å; angles 60.00, 60.00, 60.00 degrees
Fractional positions:
In 0.500 0.500 0.500
Hg 0.000 0.000 0.000
Na 0.250 0.250 0.250
Sc 0.750 0.750 0.750

=====

What spin magnetization values result from the calculations? In sequence: 0.0 0.0 0.0 0.0 4.4 0.0 0.0 0.0 0.0 2.6 0.0 0.0 μB/cell.